#w
DFT (PBE) results for a relaxed Ta2Be2Pb crystal.

The structure belongs to space group P4/mbm (No. 127); the cell edges are 6.3900, 6.3900 and 3.6687 Å and the angles 90.00°, 90.00° and 90.00°. Symmetry generates all atoms from Ta at (0.1729, 0.3271, 0.0000), Be at (0.1108, 0.6108, 0.5000) and Pb at (0.0000, 0.0000, 0.5000).

For the density of states at the Fermi level, the calculation gives 0.416 states/eV per atom. The density is 13.0 Mg/m³.

---

#x
DFT (PBE) results for a relaxed Ta2Be2Pb crystal.

The structure belongs to space group I4/mmm (No. 139); the cell edges are 2.9782, 2.9782 and 18.4205 Å and the angles 90.00°, 90.00° and 90.00°. Symmetry generates all atoms from Ta at (0.0000, 0.0000, 0.1321), Be at (0.0000, 0.5000, 0.2500) and Pb at (0.0000, 0.0000, 0.5000).

For the density of states at the Fermi level, the calculation gives 0.477 states/eV per atom. The density is 11.9 Mg/m³.

---

In terms of stability, #w leads; the second structure lies 353 meV per atom higher.

---

#w
DFT (PBE) results for a relaxed Be3TcPb crystal.

The structure belongs to space group Pm-3m (No. 221); the cell edges are 4.3573, 4.3573 and 4.3573 Å and the angles 90.00°, 90.00° and 90.00°. Symmetry generates all atoms from Be at (0.0000, 0.0000, 0.5000), Tc at (0.0000, 0.0000, 0.0000) and Pb at (0.5000, 0.5000, 0.5000).

For the density of states at the Fermi level, the calculation gives 0.345 states/eV per atom. The density is 6.7 Mg/m³.

---

#x
DFT (PBE) results for a relaxed Be3TcPb crystal.

The structure belongs to space group Pm-3m (No. 221); the cell edges are 4.5258, 4.5258 and 4.5258 Å and the angles 90.00°, 90.00° and 90.00°. Symmetry generates all atoms from Be at (0.0000, 0.0000, 0.5000), Tc at (0.5000, 0.5000, 0.5000) and Pb at (0.0000, 0.0000, 0.0000).

For the density of states at the Fermi level, the calculation gives 0.338 states/eV per atom. The density is 6.0 Mg/m³.

---

In terms of stability, #w leads; the second structure lies 1100 meV per atom higher.

---

#w
DFT (PBE) results for a relaxed Be2TePb crystal.

The structure belongs to space group Cmmm (No. 65); the cell edges are 6.4164, 7.0798 and 3.5190 Å and the angles 90.00°, 90.00° and 90.00°. Symmetry generates all atoms from Be at (0.2500, 0.2500, 0.0000), Te at (0.0000, 0.0000, 0.5000) and Pb at (0.0000, 0.5000, 0.5000).

For the density of states at the Fermi level, the calculation gives 0.496 states/eV per atom. The density is 7.3 Mg/m³.

---

#x
DFT (PBE) results for a relaxed Be2TePb crystal.

The structure belongs to space group Fm-3m (No. 225); the cell edges are 6.8151, 6.8151 and 6.8151 Å and the angles 90.00°, 90.00° and 90.00°. Symmetry generates all atoms from Be at (0.2500, 0.2500, 0.2500), Te at (0.0000, 0.0000, 0.0000) and Pb at (0.0000, 0.0000, 0.5000).

For the density of states at the Fermi level, the calculation gives 0.720 states/eV per atom. The density is 7.4 Mg/m³.

---

In terms of stability, #w leads; the second structure lies 41 meV per atom higher.

---

#w
DFT (PBE) results for a relaxed BeTePb crystal.

The structure belongs to space group I4mm (No. 107); the cell edges are 3.5677, 3.5677 and 12.1892 Å and the angles 90.00°, 90.00° and 90.00°. Symmetry generates all atoms from Be at (0.0000, 0.0000, 0.0000), Te at (0.0000, 0.0000, 0.5573) and Pb at (0.0000, 0.0000, 0.3105).

For the density of states at the Fermi level, the calculation gives 0.303 states/eV per atom. The density is 7.4 Mg/m³.

---

#x
DFT (PBE) results for a relaxed BeTePb crystal.

The structure belongs to space group F-43m (No. 216); the cell edges are 6.7474, 6.7474 and 6.7474 Å and the angles 90.00°, 90.00° and 90.00°. Symmetry generates all atoms from Be at (0.0000, 0.0000, 0.0000), Te at (0.2500, 0.2500, 0.7500) and Pb at (0.2500, 0.2500, 0.2500).

For the density of states at the Fermi level, the calculation gives 0.189 states/eV per atom. The density is 7.4 Mg/m³.

---

In terms of stability, #w leads; the second structure lies 140 meV per atom higher.

---

#w
DFT (PBE) results for a relaxed TiBe3Pb crystal.

The structure belongs to space group Pm-3m (No. 221); the cell edges are 4.5432, 4.5432 and 4.5432 Å and the angles 90.00°, 90.00° and 90.00°. Symmetry generates all atoms from Ti at (0.0000, 0.0000, 0.0000), Be at (0.0000, 0.5000, 0.5000) and Pb at (0.5000, 0.5000, 0.5000).

For the density of states at the Fermi level, the calculation gives 0.351 states/eV per atom. The density is 5.0 Mg/m³.

---

#x
DFT (PBE) results for a relaxed TiBe3Pb crystal.

The structure belongs to space group Pm-3m (No. 221); the cell edges are 4.6326, 4.6326 and 4.6326 Å and the angles 90.00°, 90.00° and 90.00°. Symmetry generates all atoms from Ti at (0.0000, 0.0000, 0.0000), Be at (0.0000, 0.0000, 0.5000) and Pb at (0.5000, 0.5000, 0.5000).

For the density of states at the Fermi level, the calculation gives 1.012 states/eV per atom. The density is 4.7 Mg/m³.

---

In terms of stability, #x leads; the second structure lies 158 meV per atom higher.

---

#w
DFT (PBE) results for a relaxed Ti3BePb crystal.

The structure belongs to space group Pm-3m (No. 221); the cell edges are 5.0904, 5.0904 and 5.0904 Å and the angles 90.00°, 90.00° and 90.00°. Symmetry generates all atoms from Ti at (0.0000, 0.0000, 0.5000), Be at (0.5000, 0.5000, 0.5000) and Pb at (0.0000, 0.0000, 0.0000).

For the density of states at the Fermi level, the calculation gives 0.267 states/eV per atom. The density is 4.5 Mg/m³.

---

#x
DFT (PBE) results for a relaxed Ti3BePb crystal.

The structure belongs to space group Pm-3m (No. 221); the cell edges are 4.4555, 4.4555 and 4.4555 Å and the angles 90.00°, 90.00° and 90.00°. Symmetry generates all atoms from Ti at (0.0000, 0.0000, 0.5000), Be at (0.0000, 0.0000, 0.0000) and Pb at (0.5000, 0.5000, 0.5000).

For the density of states at the Fermi level, the calculation gives 0.967 states/eV per atom. The density is 6.8 Mg/m³.

---

#y
DFT (PBE) results for a relaxed Ti3BePb crystal.

The structure belongs to space group P6_3/mmc (No. 194); the cell edges are 6.2399, 6.2399 and 5.0587 Å and the angles 90.00°, 90.00° and 120.00°. Symmetry generates all atoms from Ti at (0.1781, 0.3561, 0.2500), Be at (0.0000, 0.0000, 0.0000) and Pb at (0.3333, 0.6667, 0.7500).

For the density of states at the Fermi level, the calculation gives 0.836 states/eV per atom. The density is 7.0 Mg/m³.

---

In terms of stability, #y leads; the second structure lies 69 meV per atom higher.

---

#w
DFT (PBE) results for a relaxed TiBePb3 crystal.

The structure belongs to space group Pm-3m (No. 221); the cell edges are 5.4218, 5.4218 and 5.4218 Å and the angles 90.00°, 90.00° and 90.00°. Symmetry generates all atoms from Ti at (0.0000, 0.0000, 0.0000), Be at (0.5000, 0.5000, 0.5000) and Pb at (0.0000, 0.0000, 0.5000).

For the density of states at the Fermi level, the calculation gives 0.555 states/eV per atom. The density is 7.1 Mg/m³.

---

#x
DFT (PBE) results for a relaxed TiBePb3 crystal.

The structure belongs to space group Pm-3m (No. 221); the cell edges are 5.0495, 5.0495 and 5.0495 Å and the angles 90.00°, 90.00° and 90.00°. Symmetry generates all atoms from Ti at (0.0000, 0.0000, 0.0000), Be at (0.5000, 0.5000, 0.5000) and Pb at (0.0000, 0.5000, 0.5000).

For the density of states at the Fermi level, the calculation gives 1.674 states/eV per atom. The density is 8.8 Mg/m³.

---

In terms of stability, #x leads; the second structure lies 42 meV per atom higher.

---

#w
DFT (PBE) results for a relaxed Ti2BePb crystal.

The structure belongs to space group Fm-3m (No. 225); the cell edges are 6.5007, 6.5007 and 6.5007 Å and the angles 90.00°, 90.00° and 90.00°. Symmetry generates all atoms from Ti at (0.2500, 0.2500, 0.2500), Be at (0.0000, 0.0000, 0.0000) and Pb at (0.0000, 0.0000, 0.5000).

For the density of states at the Fermi level, the calculation gives 1.681 states/eV per atom. The density is 7.5 Mg/m³.

---

#x
DFT (PBE) results for a relaxed Ti2BePb crystal.

The structure belongs to space group I-42d (No. 122); the cell edges are 7.2287, 7.2287 and 5.4802 Å and the angles 90.00°, 90.00° and 90.00°. Symmetry generates all atoms from Ti at (0.2193, 0.2500, 0.1250), Be at (0.0000, 0.0000, 0.0000) and Pb at (0.0000, 0.0000, 0.5000).

For the density of states at the Fermi level, the calculation gives 1.211 states/eV per atom. The density is 7.2 Mg/m³.

---

In terms of stability, #w leads; the second structure lies 98 meV per atom higher.

---

#w
DFT (PBE) results for a relaxed BeTlPb crystal.

The structure belongs to space group F-43m (No. 216); the cell edges are 6.6451, 6.6451 and 6.6451 Å and the angles 90.00°, 90.00° and 90.00°. Symmetry generates all atoms from Be at (0.0000, 0.0000, 0.0000), Tl at (0.2500, 0.2500, 0.2500) and Pb at (0.2500, 0.2500, 0.7500).

For the density of states at the Fermi level, the calculation gives 0.853 states/eV per atom. The density is 9.5 Mg/m³.

---

#x
DFT (PBE) results for a relaxed BeTlPb crystal.

The structure belongs to space group I4mm (No. 107); the cell edges are 3.2991, 3.2991 and 13.4281 Å and the angles 90.00°, 90.00° and 90.00°. Symmetry generates all atoms from Be at (0.0000, 0.0000, 0.0000), Tl at (0.0000, 0.0000, 0.3611) and Pb at (0.0000, 0.0000, 0.6314).

For the density of states at the Fermi level, the calculation gives 0.303 states/eV per atom. The density is 9.6 Mg/m³.

---

In terms of stability, #w leads; the second structure lies 35 meV per atom higher.

---

#w
DFT (PBE) results for a relaxed BeTlPb crystal.

The structure belongs to space group P-3m1 (No. 164); the cell edges are 3.8100, 3.8100 and 12.0013 Å and the angles 90.00°, 90.00° and 120.00°. Symmetry generates all atoms from Be at (0.3333, 0.6667, 0.9995), Tl at (0.3333, 0.6667, 0.6120) and Pb at (0.0000, 0.0000, 0.1466).

For the density of states at the Fermi level, the calculation gives 0.379 states/eV per atom. The density is 9.3 Mg/m³.

---

#x
DFT (PBE) results for a relaxed BeTlPb crystal.

The structure belongs to space group P4/nmm (No. 129, origin choice 2); the cell edges are 3.3265, 3.3265 and 13.2438 Å and the angles 90.00°, 90.00° and 90.00°. Symmetry generates all atoms from Be at (0.2500, 0.7500, 0.0000), Tl at (0.2500, 0.2500, 0.3952) and Pb at (0.2500, 0.2500, 0.8268).

For the density of states at the Fermi level, the calculation gives 0.341 states/eV per atom. The density is 9.5 Mg/m³.

---

#y
DFT (PBE) results for a relaxed BeTlPb crystal.

The structure belongs to space group P3m1 (No. 156); the cell edges are 4.2285, 4.2285 and 4.7886 Å and the angles 90.00°, 90.00° and 120.00°. Symmetry generates all atoms from Be at (0.0000, 0.0000, 0.0000), Tl at (0.3333, 0.6667, 0.7299) and Pb at (0.6667, 0.3333, 0.2330).

For the density of states at the Fermi level, the calculation gives 0.502 states/eV per atom. The density is 9.4 Mg/m³.

---

In terms of stability, #w leads; the second structure lies 63 meV per atom higher.

---

#w
DFT (PBE) results for a relaxed BeTlPb crystal.

The structure belongs to space group Cm (No. 8); the cell edges are 6.4968, 3.8062 and 12.4381 Å and the angles 90.00°, 99.80° and 90.00°. Symmetry generates all atoms from Be at (0.0000, 0.0000, 0.0000), Be at (0.1637, 0.5000, 0.0005), Tl at (0.0648, 0.5000, 0.6102), Tl at (0.3023, 0.5000, 0.3885), Pb at (0.2863, 0.0000, 0.8536) and Pb at (0.3772, 0.0000, 0.1460).

For the density of states at the Fermi level, the calculation gives 0.458 states/eV per atom. The density is 9.2 Mg/m³.

---

#x
DFT (PBE) results for a relaxed BeTlPb crystal.

The structure belongs to space group P-1 (No. 2); the cell edges are 4.0235, 4.5663 and 8.3862 Å and the angles 79.20°, 89.96° and 89.99°. Symmetry generates all atoms from Be at (0.2500, 0.0917, 0.0066), Tl at (0.2490, 0.7872, 0.3762) and Pb at (0.2503, 0.6652, 0.8382).

For the density of states at the Fermi level, the calculation gives 0.263 states/eV per atom. The density is 9.2 Mg/m³.

---

In terms of stability, #w leads; the second structure lies 55 meV per atom higher.

---

#w
DFT (PBE) results for a relaxed BeTlPb2 crystal.

The structure belongs to space group C2/m (No. 12); the cell edges are 7.2160, 4.1353 and 7.8150 Å and the angles 90.00°, 106.67° and 90.00°. Symmetry generates all atoms from Be at (0.0000, 0.0000, 0.0000), Tl at (0.0000, 0.5000, 0.5000) and Pb at (0.2198, 0.5000, 0.1644).

For the density of states at the Fermi level, the calculation gives 0.509 states/eV per atom. The density is 9.3 Mg/m³.

---

#x
DFT (PBE) results for a relaxed BeTlPb2 crystal.

The structure belongs to space group P2/m (No. 10); the cell edges are 5.5454, 3.5501 and 5.8460 Å and the angles 90.00°, 109.93° and 90.00°. Symmetry generates all atoms from Be at (0.0000, 0.0000, 0.0000), Tl at (0.0000, 0.5000, 0.5000), Pb at (0.5000, 0.0000, 0.5000) and Pb at (0.5000, 0.5000, 0.0000).

For the density of states at the Fermi level, the calculation gives 0.392 states/eV per atom. The density is 9.6 Mg/m³.

---

#y
DFT (PBE) results for a relaxed BeTlPb2 crystal.

The structure belongs to space group P4/mmm (No. 123); the cell edges are 4.9742, 4.9742 and 4.3152 Å and the angles 90.00°, 90.00° and 90.00°. Symmetry generates all atoms from Be at (0.0000, 0.0000, 0.0000), Tl at (0.5000, 0.5000, 0.0000) and Pb at (0.0000, 0.5000, 0.5000).

For the density of states at the Fermi level, the calculation gives 0.421 states/eV per atom. The density is 9.8 Mg/m³.

---

#z
DFT (PBE) results for a relaxed BeTlPb2 crystal.

The structure belongs to space group Imm2 (No. 44); the cell edges are 3.5033, 5.6082 and 10.5754 Å and the angles 90.00°, 90.00° and 90.00°. Symmetry generates all atoms from Be at (0.0000, 0.0000, 0.0000), Tl at (0.0000, 0.5000, 0.3014), Pb at (0.0000, 0.0000, 0.5045) and Pb at (0.0000, 0.5000, 0.7003).

For the density of states at the Fermi level, the calculation gives 0.438 states/eV per atom. The density is 10.0 Mg/m³.

---

In terms of stability, #w leads; the second structure lies 82 meV per atom higher.